A plane-wave DFT calculation with PBE+U was carried out for an optimized crystal structure of Co2GePbO6.

Summary:
The total moment is 2.7 μB/f.u. As for the space group: R3. The uncorrected energy is -0.218 Ha/atom.

Lattice parameters (Å, degrees): 5.160 5.160 5.707 63.12 63.13 60.00
Site moments in Bohr magnetons follow the coordinates.
Sites, in units of the cell vectors:
Co  0.533  0.533  0.401  2.68
Co  0.005  0.005  0.984  0.02
Ge  0.322  0.322  0.034  0.01
Pb  0.795  0.795  0.614  -0.06
O  0.606  0.236  0.217  0.02
O  0.236  0.941  0.217  0.02
O  0.941  0.606  0.217  0.02
O  0.339  0.728  0.777  -0.02
O  0.728  0.156  0.777  -0.02
O  0.156  0.339  0.777  -0.02